DFT (PBE) results for crystalline RbBa2SrPd at its relaxed geometry.

abc: 6.3321 6.3321 6.8216
angles: 90.00 90.00 90.00
Fractional positions:
Ba (0.5000, 0.0000, 0.0000)
Ba (0.0000, 0.5000, 0.0000)
Sr (0.5000, 0.5000, 0.5000)
Rb (0.0000, 0.0000, 0.5000)
Pd (0.0000, 0.0000, 0.0000)

D(E_F)   0.95 states/eV/atom
Mass density   3.36 g/cm3
Calculated formation energy   -0.0655 eV/atom
E above lowest polymorph   151.8 meV per atom
Space-group type   No. 123

=====

DFT (PBE) results for crystalline RbBa2SrPd at its relaxed geometry.

abc: 6.4759 6.4759 6.2981
angles: 90.00 90.00 90.00
Fractional positions:
Sr (0.0000, 0.0000, 0.5000)
Rb (0.5000, 0.5000, 0.5000)
Ba (0.0000, 0.5000, 0.0000)
Ba (0.5000, 0.0000, 0.0000)
Pd (0.0000, 0.0000, 0.0000)

D(E_F)   0.73 states/eV/atom
Mass density   3.48 g/cm3
Calculated formation energy   -0.2173 eV/atom
E above lowest polymorph   0.0 meV per atom
Space-group type   No. 123

=====

DFT (PBE) results for crystalline RbBa2TlPd at its relaxed geometry.

abc: 6.3146 6.3146 5.5303
angles: 90.00 90.00 90.00
Fractional positions:
Rb (0.5000, 0.5000, 0.5000)
Pd (0.0000, 0.0000, 0.0000)
Ba (0.5000, 0.0000, 0.0000)
Ba (0.0000, 0.5000, 0.0000)
Tl (0.0000, 0.0000, 0.5000)

D(E_F)   0.78 states/eV/atom
Mass density   5.05 g/cm3
Calculated formation energy   -0.2032 eV/atom
E above lowest polymorph   0.0 meV per atom
Space-group type   No. 123

=====

DFT (PBE) results for crystalline RbBaTl2Pd at its relaxed geometry.

abc: 5.6388 5.6388 5.8388
angles: 90.00 90.00 90.00
Fractional positions:
Tl (0.0000, 0.5000, 0.0000)
Tl (0.5000, 0.0000, 0.0000)
Ba (0.0000, 0.0000, 0.5000)
Rb (0.5000, 0.5000, 0.5000)
Pd (0.0000, 0.0000, 0.0000)

D(E_F)   0.74 states/eV/atom
Mass density   6.60 g/cm3
Calculated formation energy   -0.1686 eV/atom
Space-group type   No. 123

=====

DFT (PBE) results for crystalline RbBa2TlPd at its relaxed geometry.

abc: 6.1541 6.1541 6.4006
angles: 90.00 90.00 90.00
Fractional positions:
Ba (0.5000, 0.0000, 0.0000)
Ba (0.0000, 0.5000, 0.0000)
Tl (0.5000, 0.5000, 0.5000)
Pd (0.0000, 0.0000, 0.0000)
Rb (0.0000, 0.0000, 0.5000)

D(E_F)   0.73 states/eV/atom
Mass density   4.60 g/cm3
Calculated formation energy   -0.1076 eV/atom
E above lowest polymorph   95.6 meV per atom
Space-group type   No. 123

=====

DFT (PBE) results for crystalline RbBa2ZnPd at its relaxed geometry.

abc: 6.3062 6.3062 5.2525
angles: 90.00 90.00 90.00
Fractional positions:
Ba (0.0000, 0.5000, 0.0000)
Ba (0.5000, 0.0000, 0.0000)
Rb (0.5000, 0.5000, 0.5000)
Zn (0.0000, 0.0000, 0.5000)
Pd (0.0000, 0.0000, 0.0000)

D(E_F)   0.74 states/eV/atom
Mass density   4.23 g/cm3
Calculated formation energy   -0.1212 eV/atom
Space-group type   No. 123

=====

DFT (PBE) results for crystalline Rb2BaZnPd at its relaxed geometry.

abc: 6.4874 6.1215 6.4874
angles: 90.00 90.00 90.00
Fractional positions:
Rb (0.0000, 0.0000, 0.5000)
Rb (0.5000, 0.0000, 0.0000)
Pd (0.0000, 0.0000, 0.0000)
Ba (0.0000, 0.5000, 0.0000)
Zn (0.5000, 0.5000, 0.5000)

D(E_F)   1.09 states/eV/atom
Mass density   3.09 g/cm3
Calculated formation energy   0.1530 eV/atom
Space-group type   No. 123

=====

DFT (PBE) results for crystalline BaRe2Pd at its relaxed geometry.

abc: 4.7293 4.7293 4.7293
angles: 60.00 60.00 60.00
Fractional positions:
Re (0.2500, 0.2500, 0.2500)
Re (0.7500, 0.7500, 0.7500)
Ba (0.5000, 0.5000, 0.5000)
Pd (0.0000, 0.0000, 0.0000)

D(E_F)   1.25 states/eV/atom
Mass density   13.68 g/cm3
Calculated formation energy   1.6268 eV/atom
E above lowest polymorph   610.0 meV per atom
Space-group type   No. 225

=====

DFT (PBE) results for crystalline BaRe3Pd at its relaxed geometry.

abc: 4.9071 4.9071 4.9071
angles: 90.00 90.00 90.00
Fractional positions:
Pd (0.0000, 0.0000, 0.0000)
Ba (0.5000, 0.5000, 0.5000)
Re (0.0000, 0.5000, 0.0000)
Re (0.0000, 0.0000, 0.5000)
Re (0.5000, 0.0000, 0.0000)

D(E_F)   2.19 states/eV/atom
Mass density   11.28 g/cm3
Calculated formation energy   2.2262 eV/atom
E above lowest polymorph   0.0 meV per atom
Space-group type   No. 221

=====

DFT (PBE) results for crystalline BaRe2Pd at its relaxed geometry.

abc: 4.8095 4.8095 9.9458
angles: 76.01 76.01 90.00
Fractional positions:
Ba (0.0000, 0.0000, 0.0000)
Ba (0.7500, 0.2500, 0.5000)
Re (0.3750, 0.6250, 0.2500)
Re (0.3750, 0.1250, 0.2500)
Re (0.8750, 0.6250, 0.7500)
Re (0.3750, 0.6250, 0.7500)
Pd (0.2500, 0.7500, 0.5000)
Pd (0.5000, 0.5000, 0.0000)

D(E_F)   1.38 states/eV/atom
Mass density   9.47 g/cm3
Calculated formation energy   1.0167 eV/atom
E above lowest polymorph   0.0 meV per atom
Space-group type   No. 141

=====

DFT (PBE) results for crystalline BaRePd2 at its relaxed geometry.

abc: 5.3198 5.3198 9.0641
angles: 72.93 72.93 90.00
Fractional positions:
Re (0.0000, 0.0000, 0.0000)
Re (0.7500, 0.2500, 0.5000)
Ba (0.2500, 0.7500, 0.5000)
Ba (0.5000, 0.5000, 0.0000)
Pd (0.8584, 0.1250, 0.2500)
Pd (0.8916, 0.6250, 0.2500)
Pd (0.3750, 0.1416, 0.7500)
Pd (0.8750, 0.1084, 0.7500)

D(E_F)   0.67 states/eV/atom
Mass density   7.63 g/cm3
Calculated formation energy   0.5544 eV/atom
E above lowest polymorph   0.0 meV per atom
Space-group type   No. 122

=====

DFT (PBE) results for crystalline BaRe3Pd at its relaxed geometry.

abc: 4.9183 4.9183 4.9183
angles: 90.00 90.00 90.00
Fractional positions:
Ba (0.0000, 0.0000, 0.0000)
Re (0.0000, 0.5000, 0.0000)
Re (0.5000, 0.0000, 0.0000)
Re (0.0000, 0.0000, 0.5000)
Pd (0.5000, 0.5000, 0.5000)

D(E_F)   2.02 states/eV/atom
Mass density   11.20 g/cm3
Calculated formation energy   3.9625 eV/atom
E above lowest polymorph   1736.3 meV per atom
Space-group type   No. 221

=====

DFT (PBE) results for crystalline BaRePd2 at its relaxed geometry.

abc: 4.9731 4.9731 4.9731
angles: 60.00 60.00 60.00
Fractional positions:
Re (0.5000, 0.5000, 0.5000)
Pd (0.7500, 0.7500, 0.7500)
Pd (0.2500, 0.2500, 0.2500)
Ba (0.0000, 0.0000, 0.0000)

D(E_F)   0.71 states/eV/atom
Mass density   10.24 g/cm3
Calculated formation energy   0.7363 eV/atom
E above lowest polymorph   181.9 meV per atom
Space-group type   No. 225

=====

DFT (PBE) results for crystalline BaRePd3 at its relaxed geometry.

abc: 4.9666 4.9666 4.9666
angles: 90.00 90.00 90.00
Fractional positions:
Pd (0.0000, 0.5000, 0.0000)
Pd (0.0000, 0.0000, 0.5000)
Pd (0.5000, 0.0000, 0.0000)
Ba (0.5000, 0.5000, 0.5000)
Re (0.0000, 0.0000, 0.0000)

D(E_F)   0.97 states/eV/atom
Mass density   8.71 g/cm3
Calculated formation energy   0.4055 eV/atom
E above lowest polymorph   0.0 meV per atom
Space-group type   No. 221

=====

DFT (PBE) results for crystalline BaRePd3 at its relaxed geometry.

abc: 5.2838 5.2838 5.2838
angles: 90.00 90.00 90.00
Fractional positions:
Ba (0.0000, 0.0000, 0.0000)
Pd (0.0000, 0.0000, 0.5000)
Pd (0.0000, 0.5000, 0.0000)
Pd (0.5000, 0.0000, 0.0000)
Re (0.5000, 0.5000, 0.5000)

D(E_F)   0.89 states/eV/atom
Mass density   7.24 g/cm3
Calculated formation energy   2.0083 eV/atom
E above lowest polymorph   1602.8 meV per atom
Space-group type   No. 221

=====

DFT (PBE) results for crystalline Ba3RePd at its relaxed geometry.

abc: 5.8395 5.8395 5.8395
angles: 90.00 90.00 90.00
Fractional positions:
Re (0.0000, 0.0000, 0.0000)
Pd (0.5000, 0.5000, 0.5000)
Ba (0.0000, 0.5000, 0.0000)
Ba (0.5000, 0.0000, 0.0000)
Ba (0.0000, 0.0000, 0.5000)

D(E_F)   0.99 states/eV/atom
Mass density   5.88 g/cm3
Calculated formation energy   0.7002 eV/atom
E above lowest polymorph   0.0 meV per atom
Space-group type   No. 221

=====

DFT (PBE) results for crystalline BaRe2PdS at its relaxed geometry.

abc: 5.3757 5.1988 5.3757
angles: 90.00 90.00 90.00
Fractional positions:
S (0.5000, 0.5000, 0.5000)
Ba (0.0000, 0.0000, 0.0000)
Re (0.0000, 0.0000, 0.5000)
Re (0.5000, 0.0000, 0.0000)
Pd (0.0000, 0.5000, 0.0000)

D(E_F)   1.48 states/eV/atom
Mass density   7.16 g/cm3
E_form (uncorrected)   3.294 eV per atom
E above lowest polymorph   167.2 meV per atom
Space-group type   No. 123

=====

DFT (PBE) results for crystalline BaRe2PdS at its relaxed geometry.

abc: 6.0559 6.0559 5.5028
angles: 90.00 90.00 90.00
Fractional positions:
S (0.0000, 0.0000, 0.5000)
Pd (0.5000, 0.5000, 0.5000)
Re (0.5000, 0.0000, 0.0000)
Re (0.0000, 0.5000, 0.0000)
Ba (0.0000, 0.0000, 0.0000)

D(E_F)   1.01 states/eV/atom
Mass density   5.33 g/cm3
E_form (uncorrected)   3.127 eV per atom
E above lowest polymorph   0.0 meV per atom
Space-group type   No. 123

=====

DFT (PBE) results for crystalline BaVRe2Pd at its relaxed geometry.

abc: 4.6558 5.0776 4.6558
angles: 90.00 90.00 90.00
Fractional positions:
Ba (0.5000, 0.5000, 0.5000)
V (0.0000, 0.0000, 0.0000)
Re (0.5000, 0.0000, 0.0000)
Re (0.0000, 0.0000, 0.5000)
Pd (0.0000, 0.5000, 0.0000)

D(E_F)   0.92 states/eV/atom
Mass density   10.06 g/cm3
Calculated formation energy   1.0516 eV/atom
Space-group type   No. 123

=====

DFT (PBE) results for crystalline Ba6PdRh at its relaxed geometry.

abc: 7.8174 7.8174 14.9529
angles: 90.00 90.00 120.00
Fractional positions:
Ba (0.9926, 0.3196, 0.6222)
Ba (0.6731, 0.9926, 0.3778)
Ba (0.3269, 0.3196, 0.8778)
Ba (0.3269, 0.0074, 0.6222)
Ba (0.3196, 0.9926, 0.1222)
Ba (0.6804, 0.6731, 0.6222)
Ba (0.0074, 0.6804, 0.3778)
Ba (0.0074, 0.3269, 0.1222)
Ba (0.3196, 0.3269, 0.3778)
Ba (0.6731, 0.6804, 0.1222)
Ba (0.6804, 0.0074, 0.8778)
Ba (0.9926, 0.6731, 0.8778)
Rh (0.0000, 0.0000, 0.5000)
Rh (0.0000, 0.0000, 0.0000)
Pd (0.6667, 0.3333, 0.7500)
Pd (0.3333, 0.6667, 0.2500)

D(E_F)   0.95 states/eV/atom
Mass density   4.34 g/cm3
Calculated formation energy   -0.2516 eV/atom
E above lowest polymorph   13.5 meV per atom
Space-group type   No. 163

=====

DFT (PBE) results for crystalline Ba2PdRh at its relaxed geometry.

abc: 3.8816 3.8816 7.6162
angles: 90.00 90.00 90.00
Fractional positions:
Rh (0.5000, 0.5000, 0.0000)
Ba (0.0000, 0.0000, 0.2454)
Ba (0.0000, 0.0000, 0.7546)
Pd (0.5000, 0.5000, 0.5000)

D(E_F)   0.74 states/eV/atom
Mass density   7.00 g/cm3
Calculated formation energy   -0.1440 eV/atom
Space-group type   No. 123

=====

DFT (PBE) results for crystalline BaPdRh2 at its relaxed geometry.

abc: 4.8164 4.8164 4.8164
angles: 60.00 60.00 60.00
Fractional positions:
Ba (0.5000, 0.5000, 0.5000)
Rh (0.2500, 0.2500, 0.2500)
Rh (0.7500, 0.7500, 0.7500)
Pd (0.0000, 0.0000, 0.0000)

D(E_F)   2.06 states/eV/atom
Mass density   9.45 g/cm3
Calculated formation energy   0.3854 eV/atom
E above lowest polymorph   196.4 meV per atom
Space-group type   No. 225

=====

DFT (PBE) results for crystalline Ba12Pd6Rh at its relaxed geometry.

abc: 9.3570 9.3570 9.3570
angles: 99.14 99.14 99.14
Fractional positions:
Ba (0.3173, 0.0828, 0.9589)
Ba (0.5834, 0.4162, 0.8219)
Ba (0.1781, 0.4166, 0.5838)
Ba (0.5838, 0.1781, 0.4166)
Ba (0.0828, 0.9589, 0.3173)
Ba (0.4166, 0.5838, 0.1781)
Ba (0.6827, 0.9172, 0.0411)
Ba (0.4162, 0.8219, 0.5834)
Ba (0.0411, 0.6827, 0.9172)
Ba (0.9589, 0.3173, 0.0828)
Ba (0.8219, 0.5834, 0.4162)
Ba (0.9172, 0.0411, 0.6827)
Rh (0.0000, 0.0000, 0.0000)
Pd (0.6875, 0.8654, 0.3802)
Pd (0.1346, 0.6198, 0.3125)
Pd (0.3125, 0.1346, 0.6198)
Pd (0.8654, 0.3802, 0.6875)
Pd (0.6198, 0.3125, 0.1346)
Pd (0.3802, 0.6875, 0.8654)

D(E_F)   0.65 states/eV/atom
Mass density   5.06 g/cm3
Calculated formation energy   -0.3726 eV/atom
Space-group type   No. 148

=====

DFT (PBE) results for crystalline BaPd2Rh at its relaxed geometry.

abc: 4.8824 4.8824 4.8824
angles: 60.00 60.00 60.00
Fractional positions:
Pd (0.7500, 0.7500, 0.7500)
Pd (0.2500, 0.2500, 0.2500)
Rh (0.0000, 0.0000, 0.0000)
Ba (0.5000, 0.5000, 0.5000)

D(E_F)   1.58 states/eV/atom
Mass density   9.14 g/cm3
Calculated formation energy   0.1272 eV/atom
E above lowest polymorph   80.9 meV per atom
Space-group type   No. 225

=====

DFT (PBE) results for crystalline Ba12PdRh5 at its relaxed geometry.

abc: 7.9130 7.9253 14.8722
angles: 94.90 99.84 60.05
Fractional positions:
Ba (0.7984, 0.0000, 0.3887)
Ba (0.2016, 0.0000, 0.6113)
Ba (0.8687, 0.6672, 0.6110)
Ba (0.6199, 0.0000, 0.8856)
Ba (0.6941, 0.3430, 0.1143)
Ba (0.5360, 0.3328, 0.6110)
Ba (0.0371, 0.6570, 0.1143)
Ba (0.3801, 0.0000, 0.1144)
Ba (0.9629, 0.3430, 0.8857)
Ba (0.4640, 0.6672, 0.3890)
Ba (0.1313, 0.3328, 0.3890)
Ba (0.3059, 0.6570, 0.8857)
Rh (0.5000, 0.0000, 0.5000)
Rh (0.1664, 0.6673, 0.5000)
Rh (0.6666, 0.6669, 0.0000)
Rh (0.8336, 0.3327, 0.5000)
Rh (0.3334, 0.3331, 0.0000)
Pd (0.0000, 0.0000, 0.0000)

D(E_F)   0.65 states/eV/atom
Mass density   4.73 g/cm3
Calculated formation energy   -0.1950 eV/atom
Space-group type   No. 12

=====

DFT (PBE) results for crystalline Ba8PdRh3 at its relaxed geometry.

abc: 9.1938 9.1862 9.0001
angles: 120.89 90.00 120.03
Fractional positions:
Rh (0.5000, 0.0000, 0.0000)
Rh (0.5000, 0.5000, 0.0000)
Rh (0.0000, 0.5000, 0.0000)
Ba (0.7524, 0.5047, 0.7727)
Ba (0.2476, 0.4953, 0.2273)
Ba (0.2476, 0.9815, 0.2274)
Ba (0.2661, 0.0185, 0.7726)
Ba (0.7524, 0.0185, 0.7726)
Ba (0.7435, 0.4869, 0.2289)
Ba (0.2565, 0.5131, 0.7711)
Ba (0.7339, 0.9815, 0.2274)
Pd (0.0000, 0.0000, 0.0000)

D(E_F)   0.59 states/eV/atom
Mass density   4.74 g/cm3
Calculated formation energy   -0.2272 eV/atom
Space-group type   No. 12